i | {"formula": "Ta3FeAs", "functional": "PBE", "state": "relaxed", "dos_ef_per_ev_cell": 5.28, "spacegroup": "Pm-3m, No. 221", "cell": [[-1.3808, 2.6290, -3.5990], [3.3935, -1.8224, -2.6332], [-2.8894, -3.3967, -1.3727]], "species": ["Ta", "Ta", "Ta", "Fe", "As"], "fractional_positions": [[0.5000, 0.0000, 0.0000], [0.0000, 0.5000, 0.0000], [0.0000, 0.0000, 0.5000], [0.5000, 0.5000, 0.5000], [0.0000, 0.0000, 0.0000]]}

=====

ii | {"formula": "Ta3FeAs", "functional": "PBE", "state": "relaxed", "dos_ef_per_ev_cell": 5.06, "spacegroup": "Pm-3m, No. 221", "cell": [[-3.4106, -1.5464, 2.6522], [2.9453, -2.7671, 2.1741], [0.8667, 3.3181, 3.0492]], "species": ["Fe", "Ta", "Ta", "Ta", "As"], "fractional_positions": [[0.0000, 0.0000, 0.0000], [0.5000, 0.0000, 0.0000], [0.0000, 0.5000, 0.0000], [0.0000, 0.0000, 0.5000], [0.5000, 0.5000, 0.5000]]}

=====

The relative energies come out as i 619; ii 0, with values in meV/atom.

=====

i | {"formula": "TaFe3As", "functional": "PBE", "state": "relaxed", "dos_ef_per_ev_cell": 2.49, "spacegroup": "Pm-3m, No. 221", "cell": [[-1.5812, -2.9339, 2.5466], [2.0018, -2.9716, -2.1806], [3.3295, 0.3934, 2.5205]], "species": ["Fe", "Fe", "Fe", "As", "Ta"], "fractional_positions": [[0.0000, 0.5000, 0.0000], [0.5000, 0.0000, 0.0000], [0.0000, 0.0000, 0.5000], [0.0000, 0.0000, 0.0000], [0.5000, 0.5000, 0.5000]]}

=====

ii | {"formula": "TaFe3As", "functional": "PBE", "state": "relaxed", "dos_ef_per_ev_cell": 5.27, "spacegroup": "Pm-3m, No. 221", "cell": [[4.5535, 0.0000, 0.0000], [0.0000, 4.5535, 0.0000], [0.0000, 0.0000, 4.5535]], "species": ["Fe", "Fe", "Fe", "Ta", "As"], "fractional_positions": [[0.5000, 0.0000, 0.0000], [0.0000, 0.0000, 0.5000], [0.0000, 0.5000, 0.0000], [0.0000, 0.0000, 0.0000], [0.5000, 0.5000, 0.5000]]}

=====

The relative energies come out as i 0; ii 676, with values in meV/atom.

=====

i | {"formula": "FeTcAs", "functional": "PBE", "state": "relaxed", "dos_ef_per_ev_cell": 4.02, "spacegroup": "Fmm2, No. 42", "cell": [[-0.2481, 5.0873, -3.9938], [-2.8867, 4.3981, -3.3494], [0.9024, 2.2339, 1.4310]], "species": ["As", "Fe", "Tc"], "fractional_positions": [[0.0022, 0.0022, 0.9978], [0.6658, 0.6658, 0.3342], [0.3320, 0.3320, 0.6680]]}

=====

ii | {"formula": "FeTcAs", "functional": "PBE", "state": "relaxed", "dos_ef_per_ev_cell": 3.39, "spacegroup": "Imm2, No. 44", "cell": [[-2.7365, -3.2211, 1.4104], [1.0804, -1.8167, 3.9224], [-0.9596, 3.9115, -1.9060]], "species": ["As", "Fe", "Tc"], "fractional_positions": [[0.0025, 0.0025, 0.0000], [0.3277, 0.3277, 0.0000], [0.6698, 0.6698, 0.0000]]}

=====

iii | {"formula": "FeTcAs", "functional": "PBE", "state": "relaxed", "dos_ef_per_ev_cell": 3.04, "spacegroup": "P3m1, No. 156", "cell": [[-3.1702, -1.6608, 1.8770], [2.6273, -2.3423, -1.9857], [1.5612, -0.2766, 2.3919]], "species": ["Fe", "As", "Tc"], "fractional_positions": [[0.3333, 0.6667, 0.1659], [0.0000, 0.0000, 0.1676], [0.6667, 0.3333, 0.6665]]}

=====

iv | {"formula": "FeTcAs", "functional": "PBE", "state": "relaxed", "dos_ef_per_ev_cell": 2.95, "spacegroup": "I4mm, No. 107", "cell": [[-3.3152, -3.1687, -1.9223], [-0.5918, -1.5194, -4.6977], [3.2824, 0.7407, 3.6612]], "species": ["Fe", "Tc", "As"], "fractional_positions": [[0.3445, 0.3445, 0.0000], [0.6632, 0.6632, 0.0000], [0.9922, 0.9922, 0.0000]]}

=====

The relative energies come out as i 301; ii 100; iii 0; iv 21, with values in meV/atom.

=====

i | {"formula": "Fe2TeAs", "functional": "PBE", "state": "relaxed", "dos_ef_per_ev_cell": 2.71, "spacegroup": "P2/m, No. 10", "cell": [[3.9223, 0.0000, 0.0000], [0.0000, 3.1063, -0.0523], [0.0000, -0.8390, 6.0997]], "species": ["Fe", "Fe", "Te", "As"], "fractional_positions": [[0.0000, 0.4191, 0.5916], [0.0000, 0.0809, 0.9084], [0.5000, 0.2500, 0.2500], [0.5000, 0.7500, 0.7500]]}

=====

ii | {"formula": "Fe2TeAs", "functional": "PBE", "state": "relaxed", "dos_ef_per_ev_cell": 2.36, "spacegroup": "Pmm2, No. 25", "cell": [[3.4249, 0.0000, 0.0000], [0.0000, 3.6794, 0.0264], [0.0000, -0.0471, 6.1613]], "species": ["As", "Te", "Fe", "Fe"], "fractional_positions": [[0.5000, 0.8749, 0.8538], [0.0000, 0.3751, 0.4164], [0.0000, 0.8749, 0.1224], [0.5000, 0.3751, 0.1075]]}

=====

iii | {"formula": "Fe2TeAs", "functional": "PBE", "state": "relaxed", "dos_ef_per_ev_cell": 5.95, "spacegroup": "I-42d, No. 122", "cell": [[5.3448, 0.0000, 0.0000], [0.0000, 5.3448, 0.0000], [2.6724, 2.6724, 5.6477]], "species": ["Fe", "Fe", "Fe", "Fe", "As", "As", "Te", "Te"], "fractional_positions": [[0.3750, 0.4078, 0.7500], [0.8750, 0.8422, 0.7500], [0.1578, 0.6250, 0.2500], [0.5922, 0.1250, 0.2500], [0.2500, 0.7500, 0.5000], [0.5000, 0.5000, 0.0000], [0.0000, 0.0000, 0.0000], [0.7500, 0.2500, 0.5000]]}

=====

The relative energies come out as i 307; ii 0; iii 363, with values in meV/atom.

=====

i | {"formula": "Fe2TeAs", "functional": "PBE", "state": "relaxed", "dos_ef_per_ev_cell": 3.53, "spacegroup": "P4/mmm, No. 123", "cell": [[-1.7868, -1.5995, 2.0869], [0.7413, -2.7264, -1.4551], [5.0193, -0.6592, 3.7922]], "species": ["Fe", "Fe", "As", "Te"], "fractional_positions": [[0.0000, 0.0000, 0.5470], [0.0000, 0.0000, 0.9530], [0.5000, 0.5000, 0.7500], [0.5000, 0.5000, 0.2500]]}

=====

ii | {"formula": "Fe2TeAs", "functional": "PBE", "state": "relaxed", "dos_ef_per_ev_cell": 5.42, "spacegroup": "R-3m, No. 166", "cell": [[5.8727, -0.6500, -0.3870], [5.0769, 3.0227, -0.3870], [5.0769, 1.1001, 2.8418]], "species": ["Fe", "Fe", "As", "Te"], "fractional_positions": [[0.0292, 0.0292, 0.0292], [0.4708, 0.4708, 0.4708], [0.7500, 0.7500, 0.7500], [0.2500, 0.2500, 0.2500]]}

=====

iii | {"formula": "Fe2TeAs", "functional": "PBE", "state": "relaxed", "dos_ef_per_ev_cell": 3.28, "spacegroup": "Pmm2, No. 25", "cell": [[-0.6947, 2.5535, -1.6433], [-0.2877, -1.8013, -2.6773], [-7.1487, -1.0123, 1.4493]], "species": ["Fe", "Fe", "As", "Te"], "fractional_positions": [[0.5000, 0.5000, 0.2007], [0.0000, 0.0000, 0.0293], [0.5000, 0.5000, 0.8591], [0.0000, 0.0000, 0.4108]]}

=====

The relative energies come out as i 232; ii 103; iii 0, with values in meV/atom.

=====

i | {"formula": "Fe2TeAs", "functional": "PBE", "state": "relaxed", "dos_ef_per_ev_cell": 3.49, "spacegroup": "Cm, No. 8", "cell": [[-1.5070, 1.9612, 3.4144], [-3.7165, 1.7123, 1.0153], [-3.0988, -4.5010, 3.3207]], "species": ["Fe", "Fe", "As", "Te"], "fractional_positions": [[0.9982, 0.9982, 0.9644], [0.7449, 0.7449, 0.8186], [0.2504, 0.2504, 0.1156], [0.5065, 0.5065, 0.6014]]}

=====

ii | {"formula": "Fe2TeAs", "functional": "PBE", "state": "relaxed", "dos_ef_per_ev_cell": 5.05, "spacegroup": "I-4m2, No. 119", "cell": [[5.4569, 0.4521, 0.0000], [2.5761, 4.8318, 0.0000], [-4.0165, -2.6419, 2.6211]], "species": ["As", "Te", "Fe", "Fe"], "fractional_positions": [[0.7500, 0.2500, 0.5000], [0.5000, 0.5000, 0.0000], [0.0000, 0.0000, 0.0000], [0.2500, 0.7500, 0.5000]]}

=====

iii | {"formula": "Fe2TeAs", "functional": "PBE", "state": "relaxed", "dos_ef_per_ev_cell": 3.04, "spacegroup": "R3m, No. 160", "cell": [[-3.2114, -2.9786, -4.6361], [-0.9766, -5.5905, -2.9105], [-4.2997, -4.5308, -1.2894]], "species": ["Fe", "Fe", "As", "Te"], "fractional_positions": [[0.9841, 0.9841, 0.9841], [0.2779, 0.2779, 0.2779], [0.7059, 0.7059, 0.7059], [0.5322, 0.5322, 0.5322]]}

=====

The relative energies come out as i 0; ii 431; iii 48, with values in meV/atom.

=====

i | {"formula": "Fe2TeAs", "functional": "PBE", "state": "relaxed", "dos_ef_per_ev_cell": 4.26, "spacegroup": "F-43m, No. 216", "cell": [[4.6027, 0.0000, 0.0000], [2.3013, 3.9860, 0.0000], [2.3013, 1.3287, 3.7581]], "species": ["As", "Fe", "Fe", "Te"], "fractional_positions": [[0.5000, 0.5000, 0.5000], [0.0000, 0.0000, 0.0000], [0.2500, 0.2500, 0.2500], [0.7500, 0.7500, 0.7500]]}

=====

ii | {"formula": "Fe2TeAs", "functional": "PBE", "state": "relaxed", "dos_ef_per_ev_cell": 4.78, "spacegroup": "C2/m, No. 12", "cell": [[3.9749, -0.0023, -0.0182], [2.5727, 3.0300, -0.0182], [1.4628, 0.6764, 5.5782]], "species": ["Fe", "Fe", "As", "Te"], "fractional_positions": [[0.5088, 0.5088, 0.4256], [0.9912, 0.9912, 0.0744], [0.2500, 0.2500, 0.2500], [0.7500, 0.7500, 0.7500]]}

=====

The relative energies come out as i 501; ii 0, with values in meV/atom.

=====

i | {"formula": "Fe2TeAs", "functional": "PBE", "state": "relaxed", "dos_ef_per_ev_cell": 5.32, "spacegroup": "Imm2, No. 44", "cell": [[6.4865, 0.0173, 0.0128], [4.7564, 4.4104, -0.0128], [-5.7399, -1.9131, 2.3386]], "species": ["As", "Fe", "Fe", "Te"], "fractional_positions": [[0.2074, 0.7074, 0.5000], [0.7636, 0.2636, 0.5000], [0.0727, 0.0727, 0.0000], [0.4564, 0.4564, 0.0000]]}

=====

ii | {"formula": "Fe2TeAs", "functional": "PBE", "state": "relaxed", "dos_ef_per_ev_cell": 4.88, "spacegroup": "Fm-3m, No. 225", "cell": [[-2.7640, 0.9589, 3.3419], [-3.1900, 3.0395, -0.5591], [-4.2546, -1.2581, -0.2064]], "species": ["Fe", "Fe", "As", "Te"], "fractional_positions": [[0.7500, 0.7500, 0.7500], [0.2500, 0.2500, 0.2500], [0.0000, 0.0000, 0.0000], [0.5000, 0.5000, 0.5000]]}

=====

The relative energies come out as i 0; ii 154, with values in meV/atom.